Density functional theory data (PBE with a Hubbard U) for crystalline K2CrHgO4 at its relaxed geometry.

Structure (CIF):
```
data_K2CrHgO4
_chemical_formula_sum 'K4 Cr2 Hg2 O8'
_symmetry_space_group_name_H-M 'I -4'
_symmetry_Int_Tables_number 82
_cell_length_a 7.320
_cell_length_b 7.320
_cell_length_c 6.867
_cell_angle_alpha 90.00
_cell_angle_beta 90.00
_cell_angle_gamma 90.00
loop_
_symmetry_equiv_pos_as_xyz
'x,y,z'
'y,-x,-z'
'-x,-y,z'
'-y,x,-z'
'x+1/2,y+1/2,z+1/2'
'y+1/2,-x+1/2,-z+1/2'
'-x+1/2,-y+1/2,z+1/2'
'-y+1/2,x+1/2,-z+1/2'
loop_
_atom_site_label
_atom_site_type_symbol
_atom_site_fract_x
_atom_site_fract_y
_atom_site_fract_z
_atom_site_occupancy
K1 K 0.000 0.000 0.000 1
K2 K 0.000 0.500 0.250 1
Cr1 Cr 0.000 0.500 0.750 1
Hg1 Hg 0.000 0.000 0.500 1
O1 O 0.089 0.339 0.894 1
```

Results
Total magnetization (μB per formula unit): 0.00
Calculated total energy (eV/cell): -81.648